1.
The following is a DFT calculation (GGA-PBE) of crystalline Cs2YAgF6 at its relaxed geometry.

Cell lengths 9.391, 9.391, 9.391 Å; angles 90.00, 90.00, 90.00 degrees
Space group Fm-3m (No. 225)
Asymmetric unit:
Cs 0.250 0.250 0.250
Y 0.000 0.000 0.000
Ag 0.000 0.000 0.500
F 0.000 0.000 0.234

Calculated volume, Å³/atom: 20.70
E_tot, eV for the cell shown: -207.78
M_tot, μB/cell: 0.257
N(E_F), states/eV/cell: 0.000
ρ, g/cm³: 4.62
Uncorrected formation energy, eV per atom: -2.969

2.
The following is a DFT calculation (GGA-PBE) of crystalline La3HoS at its relaxed geometry.

Cell lengths 5.593, 5.593, 5.593 Å; angles 90.00, 90.00, 90.00 degrees
Space group Pm-3m (No. 221)
Asymmetric unit:
La 0.000 0.000 0.500
Ho 0.500 0.500 0.500
S 0.000 0.000 0.000

Calculated volume, Å³/atom: 34.99
E_tot, eV for the cell shown: -27.03
M_tot, μB/cell: 0.000
N(E_F), states/eV/cell: 5.858
ρ, g/cm³: 5.83
Uncorrected formation energy, eV per atom: -0.708

3.
The following is a DFT calculation (GGA-PBE) of crystalline CaMn2Te at its relaxed geometry.

Cell lengths 8.218, 8.218, 5.975 Å; angles 90.00, 90.00, 90.00 degrees
Space group I-42d (No. 122)
Asymmetric unit:
Ca 0.000 0.000 0.000
Mn 0.202 0.750 0.625
Te 0.000 0.000 0.500

Calculated volume, Å³/atom: 25.22
E_tot, eV for the cell shown: -88.83
M_tot, μB/cell: 31.587
N(E_F), states/eV/cell: 31.966
ρ, g/cm³: 4.57
Uncorrected formation energy, eV per atom: 0.318

4.
The following is a DFT calculation (GGA-PBE) of crystalline MnSiTc at its relaxed geometry.

Cell lengths 4.313, 5.377, 8.637 Å; angles 90.00, 90.00, 90.00 degrees
Space group Amm2 (No. 38)
Asymmetric unit:
Mn 0.000 0.000 0.000
Mn 0.500 0.000 0.257
Si 0.000 0.000 0.481
Si 0.500 0.000 0.781
Tc 0.000 0.237 0.739

Calculated volume, Å³/atom: 16.69
E_tot, eV for the cell shown: -97.96
M_tot, μB/cell: 12.256
N(E_F), states/eV/cell: 10.173
ρ, g/cm³: 6.00
Relative energy among the computed polymorphs, meV per atom: 502
Uncorrected formation energy, eV per atom: 0.156

5.
The following is a DFT calculation (GGA-PBE) of crystalline TcSbSe2 at its relaxed geometry.

Cell lengths 5.514, 7.615, 7.972 Å; angles 90.00, 90.00, 90.00 degrees
Space group Fmmm (No. 69)
Asymmetric unit:
Tc 0.000 0.000 0.000
Sb 0.000 0.000 0.500
Se 0.000 0.250 0.250

Calculated volume, Å³/atom: 20.92
E_tot, eV for the cell shown: -79.43
M_tot, μB/cell: 3.161
N(E_F), states/eV/cell: 13.868
ρ, g/cm³: 7.49
Uncorrected formation energy, eV per atom: 0.400

6.
The following is a DFT calculation (GGA-PBE) of crystalline PmTmGaOs at its relaxed geometry.

Cell lengths 7.017, 7.017, 7.017 Å; angles 90.00, 90.00, 90.00 degrees
Space group F-43m (No. 216)
Asymmetric unit:
Pm 0.000 0.000 0.000
Tm 0.000 0.000 0.500
Ga 0.250 0.250 0.750
Os 0.250 0.250 0.250

Calculated volume, Å³/atom: 21.60
E_tot, eV for the cell shown: -98.73
M_tot, μB/cell: 0.000
N(E_F), states/eV/cell: 10.953
ρ, g/cm³: 11.03
Calculated formation energy, eV per atom: -0.301

7.
The following is a DFT calculation (GGA-PBE) of crystalline Be3TcSe at its relaxed geometry.

Cell lengths 4.139, 4.139, 4.139 Å; angles 90.00, 90.00, 90.00 degrees
Space group Pm-3m (No. 221)
Asymmetric unit:
Be 0.000 0.000 0.500
Tc 0.500 0.500 0.500
Se 0.000 0.000 0.000

Calculated volume, Å³/atom: 14.18
E_tot, eV for the cell shown: -18.79
M_tot, μB/cell: 0.001
N(E_F), states/eV/cell: 3.689
ρ, g/cm³: 4.78
Relative energy among the computed polymorphs, meV per atom: 150
Uncorrected formation energy, eV per atom: 1.247

8.
The following is a DFT calculation (GGA-PBE) of crystalline UTl2InTe4 at its relaxed geometry.

Cell lengths 8.060, 4.416, 8.366 Å; angles 90.00, 107.44, 90.00 degrees
Space group P2/m (No. 10)
Asymmetric unit:
U 0.000 0.000 0.000
Tl 0.000 0.500 0.500
Tl 0.500 0.000 0.500
In 0.500 0.500 0.000
Te 0.227 0.500 0.213
Te 0.246 0.000 0.789

Calculated volume, Å³/atom: 35.51
E_tot, eV for the cell shown: -34.77
M_tot, μB/cell: 1.958
N(E_F), states/eV/cell: 5.996
ρ, g/cm³: 7.43
Uncorrected formation energy, eV per atom: -0.430

9.
The following is a DFT calculation (GGA-PBE) of crystalline Ag2HgF4 at its relaxed geometry.

Cell lengths 6.555, 7.339, 10.610 Å; angles 90.00, 90.00, 90.00 degrees
Space group Imma (No. 74)
Asymmetric unit:
Ag 0.000 0.250 0.146
Ag 0.250 0.250 0.750
Hg 0.000 0.000 0.500
F 0.000 0.002 0.717
F 0.235 0.250 0.508

Calculated volume, Å³/atom: 18.23
E_tot, eV for the cell shown: -86.06
M_tot, μB/cell: 0.000
N(E_F), states/eV/cell: 15.735
ρ, g/cm³: 6.41
Relative energy among the computed polymorphs, meV per atom: 0
Uncorrected formation energy, eV per atom: -1.146

10.
The following is a DFT calculation (GGA-PBE) of crystalline LiPmMg2S4 at its relaxed geometry.

Cell lengths 3.824, 12.599, 12.687 Å; angles 90.00, 90.00, 90.00 degrees
Space group Cmcm (No. 63)
Asymmetric unit:
Li 0.000 0.148 0.250
Pm 0.000 0.120 0.750
Mg 0.000 0.374 0.555
S 0.000 0.000 0.000
S 0.000 0.273 0.116
S 0.000 0.454 0.750

Calculated volume, Å³/atom: 19.10
E_tot, eV for the cell shown: -155.90
M_tot, μB/cell: 0.000
ρ, g/cm³: 3.57
Uncorrected formation energy, eV per atom: -1.576

11.
The following is a DFT calculation (GGA-PBE) of crystalline Er5Zn4Cu at its relaxed geometry.

Cell lengths 3.515, 3.515, 17.609 Å; angles 90.00, 90.00, 90.00 degrees
Space group P4/mmm (No. 123)
Asymmetric unit:
Er 0.000 0.000 0.000
Er 0.000 0.000 0.202
Er 0.000 0.000 0.404
Zn 0.500 0.500 0.101
Zn 0.500 0.500 0.302
Cu 0.500 0.500 0.500

Calculated volume, Å³/atom: 21.75
E_tot, eV for the cell shown: -35.33
M_tot, μB/cell: 0.001
N(E_F), states/eV/cell: 9.395
ρ, g/cm³: 8.87
Calculated formation energy, eV per atom: -0.332

12.
The following is a DFT calculation (GGA-PBE) of crystalline PuPaPb at its relaxed geometry.

Cell lengths 5.001, 6.605, 9.290 Å; angles 90.00, 90.00, 90.00 degrees
Space group Immm (No. 71)
Asymmetric unit:
Pu 0.000 0.000 0.173
Pa 0.000 0.500 0.180
Pb 0.000 0.248 0.500

Calculated volume, Å³/atom: 25.57
E_tot, eV for the cell shown: -108.32
M_tot, μB/cell: 25.778
N(E_F), states/eV/cell: 28.273
ρ, g/cm³: 14.77
Relative energy among the computed polymorphs, meV per atom: 32
Calculated formation energy, eV per atom: 0.152

13.
The following is a DFT calculation (GGA-PBE) of crystalline SmReC2 at its relaxed geometry.

Cell lengths 3.149, 3.238, 6.065 Å; angles 76.23, 75.05, 89.97 degrees
Space group P1 (No. 1)
Asymmetric unit:
Sm 0.000 0.000 0.000
Re 0.247 0.805 0.502
C 0.343 0.386 0.304
C 0.636 0.745 0.726

Calculated volume, Å³/atom: 14.48
E_tot, eV for the cell shown: -34.41
M_tot, μB/cell: 0.000
N(E_F), states/eV/cell: 2.159
ρ, g/cm³: 10.34
Relative energy among the computed polymorphs, meV per atom: 117
Calculated formation energy, eV per atom: 0.301

14.
The following is a DFT calculation (GGA-PBE) of crystalline AlGaS2I at its relaxed geometry.

Cell lengths 4.481, 4.481, 9.517 Å; angles 90.00, 90.00, 90.00 degrees
Space group P4/mmm (No. 123)
Asymmetric unit:
Al 0.000 0.000 0.000
Ga 0.000 0.000 0.500
S 0.000 0.500 0.000
I 0.500 0.500 0.500

Calculated volume, Å³/atom: 38.23
E_tot, eV for the cell shown: -17.08
M_tot, μB/cell: 0.208
N(E_F), states/eV/cell: 2.405
ρ, g/cm³: 2.50
Relative energy among the computed polymorphs, meV per atom: 0
Uncorrected formation energy, eV per atom: -0.101

15.
The following is a DFT calculation (GGA-PBE) of crystalline Tl2Cd at its relaxed geometry.

Cell lengths 14.126, 14.126, 14.126 Å; angles 90.00, 90.00, 90.00 degrees
Space group Fd-3m (No. 227, origin choice 2)
Asymmetric unit:
Tl 0.000 0.000 0.000
Tl 0.066 0.375 0.875
Cd 0.038 0.038 0.212

Calculated volume, Å³/atom: 29.36
E_tot, eV for the cell shown: -176.73
M_tot, μB/cell: 0.000
N(E_F), states/eV/cell: 48.445
ρ, g/cm³: 9.82
Relative energy among the computed polymorphs, meV per atom: 11
Calculated formation energy, eV per atom: 0.042

16.
The following is a DFT calculation (GGA-PBE) of crystalline Ba2InH6Au at its relaxed geometry.

Cell lengths 8.312, 8.760, 5.889 Å; angles 90.00, 134.83, 90.00 degrees
Space group C2/m (No. 12)
Asymmetric unit:
Ba 0.000 0.249 0.000
In 0.000 0.500 0.500
H 0.000 0.215 0.500
H 0.222 0.000 0.946
H 0.223 0.000 0.498
Au 0.000 0.000 0.500

Calculated volume, Å³/atom: 15.20
E_tot, eV for the cell shown: -63.61
M_tot, μB/cell: 0.000
N(E_F), states/eV/cell: 4.239
ρ, g/cm³: 6.47

17.
The following is a DFT calculation (GGA-PBE) of crystalline Ac2ZrSi3Rh12 at its relaxed geometry.

Cell lengths 9.1423, 9.1423, 12.9086 Å; angles 90.00, 90.00, 120.00 degrees
Space group R-3m (No. 166, hexagonal axes)
Asymmetric unit:
Ac 0.0000 0.0000 0.1342
Zr 0.0000 0.0000 0.5000
Si 0.0000 0.5000 0.0000
Rh 0.0021 0.5010 0.1802
Rh 0.0321 0.5161 0.3852

Calculated volume, Å³/atom: 17.30
E_tot, eV for the cell shown: -379.59
M_tot, μB/cell: 0.000
N(E_F), states/eV/cell: 59.513
ρ, g/cm³: 9.94
Uncorrected formation energy, eV per atom: -0.293

18.
The following is a DFT calculation (GGA-PBE) of crystalline CsRbNbCl6 at its relaxed geometry.

Cell lengths 7.8947, 7.8947, 13.1707 Å; angles 90.00, 90.00, 120.00 degrees
Space group P-31c (No. 163)
Asymmetric unit:
Cs 0.0000 0.0000 0.0000
Rb 0.3333 0.6667 0.2500
Nb 0.3333 0.6667 0.7500
Cl 0.0803 0.4149 0.6423

Calculated volume, Å³/atom: 39.49
E_tot, eV for the cell shown: -74.71
M_tot, μB/cell: 2.000
N(E_F), states/eV/cell: 16.210
ρ, g/cm³: 2.45
Uncorrected formation energy, eV per atom: -1.598

19.
The following is a DFT calculation (GGA-PBE) of crystalline Rb4AgGe3I12 at its relaxed geometry.

Cell lengths 11.833, 11.833, 11.833 Å; angles 90.00, 90.00, 90.00 degrees
Space group Im-3m (No. 229)
Asymmetric unit:
Rb 0.250 0.250 0.250
Ag 0.000 0.000 0.000
Ge 0.000 0.000 0.500
I 0.000 0.000 0.252
I 0.000 0.250 0.500

Calculated volume, Å³/atom: 41.42
E_tot, eV for the cell shown: -107.73
M_tot, μB/cell: 0.000
N(E_F), states/eV/cell: 10.283
ρ, g/cm³: 4.39
Uncorrected formation energy, eV per atom: -0.735

20.
The following is a DFT calculation (GGA-PBE) of crystalline Sc2TlAu at its relaxed geometry.

Cell lengths 4.935, 4.935, 3.526 Å; angles 90.00, 90.00, 90.00 degrees
Space group P4/mmm (No. 123)
Asymmetric unit:
Sc 0.000 0.500 0.000
Tl 0.000 0.000 0.500
Au 0.500 0.500 0.500

Calculated volume, Å³/atom: 21.47
E_tot, eV for the cell shown: -20.32
M_tot, μB/cell: 0.001
N(E_F), states/eV/cell: 3.535
ρ, g/cm³: 9.50
Calculated formation energy, eV per atom: -0.504